Tb2PaPtO8 after structural relaxation, computed with GGA-PBE.

uncorrected energy	-7.956	eV per atom
total magnetic moment	0.9	Bohr magnetons per cell
symmetry	Cmmm
formation energy from raw total energies	-2584	meV per atom

Unit cell a=5.056 b=5.054 c=6.833 alpha=90.00 beta=90.00 gamma=91.43
Positions (direct):
O 0.280 0.280 0.000
Tb 0.500 0.500 0.242
Tb 0.500 0.500 0.758
O 0.181 0.819 0.767
O 0.720 0.720 0.000
O 0.181 0.819 0.233
Pt 0.000 0.000 0.000
O 0.300 0.299 0.500
O 0.700 0.701 0.500
O 0.819 0.181 0.233
O 0.819 0.181 0.767
Pa 0.000 0.000 0.500